Below is a geometry-optimized CaReSn2Au structure, with properties calculated at the GGA-PBE level.

The structure belongs to space group P4/mmm (No. 123); the cell edges are 5.597, 5.597 and 4.896 Å and the angles 90.00°, 90.00° and 90.00°. The asymmetric unit holds Ca at (0.000, 0.000, 0.000), Re at (0.000, 0.000, 0.500), Sn at (0.000, 0.500, 0.000) and Au at (0.500, 0.500, 0.500).

The calculation puts the formation energy at 1.79 eV/atom.


Below is a geometry-optimized KCr2HgBi structure, with properties calculated at the GGA-PBE level.

The structure belongs to space group P4/mmm (No. 123); the cell edges are 5.584, 5.584 and 5.528 Å and the angles 90.00°, 90.00° and 90.00°. The asymmetric unit holds K at (0.000, 0.000, 0.000), Cr at (0.000, 0.500, 0.000), Hg at (0.000, 0.000, 0.500) and Bi at (0.500, 0.500, 0.500).

The calculation puts the formation energy at 1.56 eV/atom.


Below is a geometry-optimized SrZrRu2 structure, with properties calculated at the GGA-PBE level.

The structure belongs to space group P4/mmm (No. 123); the cell edges are 3.340, 3.340 and 7.291 Å and the angles 90.00°, 90.00° and 90.00°. The asymmetric unit holds Sr at (0.000, 0.000, 0.000), Zr at (0.000, 0.000, 0.500) and Ru at (0.500, 0.500, 0.296).

The calculation puts the formation energy at 0.00 eV/atom.


Below is a geometry-optimized Y2HoC structure, with properties calculated at the GGA-PBE level.

The structure belongs to space group R-3m (No. 166, hexagonal axes); the cell edges are 3.5489, 3.5489 and 28.8584 Å and the angles 90.00°, 90.00° and 120.00°. The asymmetric unit holds Y at (0.0000, 0.0000, 0.1200), Ho at (0.0000, 0.0000, 0.0000) and C at (0.0000, 0.0000, 0.5000).

The calculation puts the formation energy at -0.07 eV/atom.


Below is a geometry-optimized Rb2MgCuS structure, with properties calculated at the GGA-PBE level.

The structure belongs to space group P4/mmm (No. 123); the cell edges are 6.802, 6.802 and 4.273 Å and the angles 90.00°, 90.00° and 90.00°. The asymmetric unit holds Rb at (0.000, 0.500, 0.000), Mg at (0.000, 0.000, 0.500), Cu at (0.500, 0.500, 0.500) and S at (0.500, 0.500, 0.000).


Below is a geometry-optimized TlCr2Cd structure, with properties calculated at the GGA-PBE level.

The structure belongs to space group Amm2 (No. 38); the cell edges are 3.068, 3.164 and 15.553 Å and the angles 90.00°, 90.00° and 90.00°. The asymmetric unit holds Tl at (0.000, 0.000, 0.000), Cr at (0.000, 0.000, 0.201), Cr at (0.500, 0.000, 0.631) and Cd at (0.500, 0.000, 0.826).

The calculation puts the formation energy at 0.37 eV/atom.


Going through the records in order, we get uncorrected energy values of -3.35, -3.34, -7.19, -6.75, -2.53, -5.26 eV per atom.
Going through the records in order, we get spin magnetization values of 2.208, 9.762, 0.000, 1.837, 0.000, 0.426 μB/cell.